#a
## Tb2CdAg6 (PBE)

Data for a relaxed Tb2CdAg6 crystal.

Calculated volume = 195.4 Å³ per cell

Lattice parameters (Å, degrees): 6.243 6.243 5.793 90.05 90.05 59.90
Atoms (fractional coordinates):
Tb1 0.166 0.166 0.157
Tb2 0.834 0.834 0.843
Cd1 0.500 0.500 0.000
Ag1 0.132 0.684 0.329
Ag2 0.316 0.316 0.672
Ag3 0.316 0.868 0.671
Ag4 0.684 0.132 0.329
Ag5 0.684 0.684 0.328
Ag6 0.868 0.316 0.671

***

#b
## Tb2CdAg6 (PBE)

Data for a relaxed Tb2CdAg6 crystal.

Calculated volume = 189.0 Å³ per cell

Lattice parameters (Å, degrees): 8.284 8.284 5.205 98.85 98.85 142.82
Atoms (fractional coordinates):
Tb1 0.161 0.839 0.000
Tb2 0.839 0.161 0.000
Cd1 0.000 0.000 0.500
Ag1 0.168 0.505 0.668
Ag2 0.364 0.364 0.186
Ag3 0.495 0.832 0.332
Ag4 0.505 0.168 0.668
Ag5 0.636 0.636 0.814
Ag6 0.832 0.495 0.332

***

Most favorable structure: #b. The second most favorable one is 21 meV per atom above it.

***

#a
## Tb4CdAg3 (PBE)

Data for a relaxed Tb4CdAg3 crystal.

Calculated volume = 203.3 Å³ per cell

Lattice parameters (Å, degrees): 3.642 4.879 11.444 90.00 90.00 90.00
Atoms (fractional coordinates):
Tb1 0.000 0.000 0.000
Tb2 0.000 0.500 0.285
Tb3 0.500 0.000 0.485
Tb4 0.500 0.500 0.796
Cd1 0.000 0.000 0.718
Ag1 0.000 0.500 0.562
Ag2 0.500 0.000 0.218
Ag3 0.500 0.500 0.066

***

#b
## Tb4CdAg3 (PBE)

Data for a relaxed Tb4CdAg3 crystal.

Calculated volume = 198.9 Å³ per cell

Lattice parameters (Å, degrees): 3.670 5.213 10.398 90.00 90.00 90.00
Atoms (fractional coordinates):
Tb1 0.000 0.000 0.000
Tb2 0.000 0.000 0.500
Tb3 0.000 0.500 0.244
Tb4 0.000 0.500 0.756
Cd1 0.500 0.500 0.500
Ag1 0.500 0.000 0.253
Ag2 0.500 0.000 0.747
Ag3 0.500 0.500 0.000

***

Most favorable structure: #b. The second most favorable one is 46 meV per atom above it.

***

#a
## CdTcAg (PBE)

Data for a relaxed CdTcAg crystal.

Calculated volume = 51.5 Å³ per cell

Lattice parameters (Å, degrees): 2.849 2.849 7.326 90.00 90.00 120.00
Atoms (fractional coordinates):
Cd1 0.000 0.000 0.000
Tc1 0.667 0.333 0.668
Ag1 0.333 0.667 0.345

***

#b
## CdTcAg (PBE)

Data for a relaxed CdTcAg crystal.

Calculated volume = 52.7 Å³ per cell

Lattice parameters (Å, degrees): 5.205 5.205 5.205 149.77 131.63 58.11
Atoms (fractional coordinates):
Cd1 0.000 0.000 0.000
Tc1 0.667 0.667 0.000
Ag1 0.330 0.330 0.000

***

Most favorable structure: #a. The second most favorable one is 179 meV per atom above it.

***

#a
## CdTcAg (PBE)

Data for a relaxed CdTcAg crystal.

Calculated volume = 105.3 Å³ per cell

Lattice parameters (Å, degrees): 2.888 2.888 14.579 90.00 90.00 120.00
Atoms (fractional coordinates):
Cd1 0.000 0.000 0.000
Cd2 0.333 0.667 0.188
Tc1 0.000 0.000 0.358
Tc2 0.333 0.667 0.493
Ag1 0.000 0.000 0.659
Ag2 0.333 0.667 0.826

***

#b
## CdTcAg (PBE)

Data for a relaxed CdTcAg crystal.

Calculated volume = 62.6 Å³ per cell

Lattice parameters (Å, degrees): 4.457 4.457 4.457 60.00 60.00 60.00
Atoms (fractional coordinates):
Cd1 0.000 0.000 0.000
Tc1 0.500 0.500 0.500
Ag1 0.750 0.750 0.750

***

Most favorable structure: #a. The second most favorable one is 837 meV per atom above it.

***

#a
## CdTcAg (PBE)

Data for a relaxed CdTcAg crystal.

Calculated volume = 106.7 Å³ per cell

Lattice parameters (Å, degrees): 3.046 5.017 7.701 73.32 78.73 72.43
Atoms (fractional coordinates):
Cd1 0.000 0.000 0.000
Cd2 0.320 0.528 0.834
Tc1 0.310 0.078 0.304
Tc2 0.663 0.478 0.194
Ag1 0.654 0.050 0.641
Ag2 0.972 0.564 0.492

***

#b
## CdTcAg (PBE)

Data for a relaxed CdTcAg crystal.

Calculated volume = 106.6 Å³ per cell

Lattice parameters (Å, degrees): 3.003 3.003 11.821 90.00 90.00 90.00
Atoms (fractional coordinates):
Cd1 0.250 0.250 0.237
Cd2 0.750 0.750 0.763
Tc1 0.250 0.250 0.941
Tc2 0.750 0.750 0.059
Ag1 0.250 0.250 0.585
Ag2 0.750 0.750 0.415

***

Most favorable structure: #b. The second most favorable one is 232 meV per atom above it.

***

#a
## CdTcAg (PBE)

Data for a relaxed CdTcAg crystal.

Calculated volume = 105.4 Å³ per cell

Lattice parameters (Å, degrees): 14.700 14.700 14.700 11.27 11.27 11.27
Atoms (fractional coordinates):
Cd1 0.000 0.000 0.000
Cd2 0.396 0.396 0.396
Tc1 0.119 0.119 0.119
Tc2 0.498 0.498 0.498
Ag1 0.219 0.219 0.219
Ag2 0.608 0.608 0.608

***

#b
## CdTcAg (PBE)

Data for a relaxed CdTcAg crystal.

Calculated volume = 51.5 Å³ per cell

Lattice parameters (Å, degrees): 7.512 7.512 7.512 21.86 21.86 21.86
Atoms (fractional coordinates):
Cd1 0.000 0.000 0.000
Tc1 0.223 0.223 0.223
Ag1 0.448 0.448 0.448

***

#c
## CdTcAg (PBE)

Data for a relaxed CdTcAg crystal.

Calculated volume = 51.6 Å³ per cell

Lattice parameters (Å, degrees): 6.994 6.994 6.994 157.13 157.13 32.57
Atoms (fractional coordinates):
Cd1 0.000 0.000 0.000
Tc1 0.335 0.335 0.000
Ag1 0.674 0.674 0.000

***

Most favorable structure: #a. The second most favorable one is 254 meV per atom above it.